Record 1
Entry from Alexandria: a geometry-optimized CsMg2TlCl6 structure (PBE).

Structure (extended XYZ):
```
20
Lattice="6.859 -0.575 -0.597 1.532 10.133 -0.059 1.532 -0.435 10.124" Properties=species:S:1:pos:R:3 pbc="T T T"
Cs 3.247 8.879 0.861
Cs 6.677 0.244 8.606
Mg 3.749 7.672 6.202
Mg 2.745 3.497 1.869
Mg 6.175 1.450 3.265
Mg 7.179 5.625 7.598
Tl 3.247 2.580 6.931
Tl 6.677 6.543 2.536
Cl 4.167 9.467 7.633
Cl 2.327 2.133 0.022
Cl 5.757 -0.345 1.834
Cl 7.597 6.990 9.445
Cl 4.349 8.036 4.007
Cl 2.145 5.704 1.587
Cl 5.575 1.087 5.460
Cl 7.779 3.419 7.880
Cl 8.246 6.571 5.650
Cl 5.107 3.432 2.392
Cl 1.677 2.551 3.817
Cl 4.817 5.690 7.075
```

Output
**Symmetry**: No. 15
**Total energy**: -68.79 eV for the cell shown
**Formation energy (no corrections)**: -1.690 eV per atom

---

Record 2
Entry from Alexandria: a geometry-optimized LiScIn2Cl6 structure (PBE).

Structure (extended XYZ):
```
20
Lattice="7.114 0.000 -0.017 0.000 7.188 0.000 0.041 0.000 10.122" Properties=species:S:1:pos:R:3 pbc="T T T"
Li 3.557 0.000 -0.008
Li 0.020 3.594 5.061
Sc 3.577 0.000 5.053
Sc 0.000 3.594 0.000
In 0.051 6.873 2.540
In 3.628 3.910 7.592
In 7.104 0.316 7.566
In 3.526 3.279 2.513
Cl 1.984 5.102 0.258
Cl 5.561 5.680 5.310
Cl 5.171 2.086 9.847
Cl 1.593 1.508 4.795
Cl 2.089 5.188 4.798
Cl 5.667 5.594 9.851
Cl 5.065 2.000 5.307
Cl 1.488 1.594 0.255
Cl 6.758 3.646 2.463
Cl 3.221 7.137 7.533
Cl 0.397 3.542 7.642
Cl 3.933 0.052 2.572
```

Output
**Symmetry**: No. 14
**Total energy**: -80.39 eV for the cell shown
**Formation energy (no corrections)**: -1.539 eV per atom

---

Record 3
Entry from Alexandria: a geometry-optimized CsHgI3 structure (PBE).

Structure (extended XYZ):
```
10
Lattice="6.241 -0.004 -0.002 0.146 9.157 -0.171 0.146 2.138 8.933" Properties=species:S:1:pos:R:3 pbc="T T T"
Cs 6.232 2.723 5.301
Cs 3.275 7.233 1.530
Hg 4.832 7.290 6.274
Hg 4.686 2.658 0.557
I 3.297 4.859 6.964
I 6.364 7.228 8.802
I 3.170 3.327 2.798
I 3.312 9.623 6.372
I 6.200 0.320 0.454
I 6.340 6.618 4.030
```

Output
**Symmetry**: No. 1
**Total energy**: -19.76 eV for the cell shown
**Formation energy (no corrections)**: -0.815 eV per atom

---

Record 4
Entry from Alexandria: a geometry-optimized AsPRhAu2 structure (PBE).

Structure (extended XYZ):
```
5
Lattice="2.857 0.000 0.000 0.000 2.950 0.000 0.000 0.000 10.419" Properties=species:S:1:pos:R:3 pbc="T T T"
As 1.429 1.475 1.388
P 0.000 1.475 8.344
Rh 1.429 0.000 9.589
Au 1.429 0.000 3.802
Au 0.000 1.475 5.938
```

Output
**Symmetry**: No. 25
**Formation energy**: -118.7 meV per atom
**Total energy**: -24.56 eV for the cell shown

---

> Which formula does entry 4 have?

AsPRhAu2